Compound: Y2Ga2Ni
Source: Alexandria
Functional: PBE
Structure: optimized geometry

Structure (POSCAR):
```
Y2Ga2Ni
1.0
6.8623 0.0000 0.0000
0.0000 6.8623 0.0000
0.0000 0.0000 4.3920
Y Ga Ni
4 4 2
Direct
0.1711 0.3289 0.0000
0.3289 0.8289 0.0000
0.6711 0.1711 0.0000
0.8289 0.6711 0.0000
0.1364 0.6364 0.5000
0.3636 0.1364 0.5000
0.6364 0.8636 0.5000
0.8636 0.3636 0.5000
0.0000 0.0000 0.5000
0.5000 0.5000 0.5000
```

Calculated formation energy ... -0.5080 eV/atom
Magnetization ... 0.00 μB/cell
VASP energy ... -5.461 eV per atom